Record 1
A relaxed structure of Te2IrAu, computed with PBE.

## Properties
Total magnetization ... 0.00 Bohr magnetons per cell
Crystal system ... monoclinic
Uncorrected energy ... -4.498 eV/atom

a b c (Å): 5.181 5.181 5.765
angles (deg): 102.87 102.87 44.16
Element x y z (fractional)
Te1 0.000 0.000 0.000
Te2 0.182 0.182 0.611
Ir1 0.608 0.608 0.302
Au1 0.318 0.318 0.218

=====

Record 2
A relaxed structure of Si2AgHg, computed with PBE.

## Properties
Total magnetization ... 0.00 Bohr magnetons per cell
Crystal system ... tetragonal
Uncorrected energy ... -2.972 eV/atom

a b c (Å): 5.058 5.058 5.058
angles (deg): 129.78 129.78 73.77
Element x y z (fractional)
Si1 0.000 0.000 0.000
Si2 0.750 0.250 0.500
Ag1 0.250 0.750 0.500
Hg1 0.500 0.500 0.000

=====

Record 3
A relaxed structure of Ba2PrHg6, computed with PBE.

## Properties
Total magnetization ... 0.00 Bohr magnetons per cell
Crystal system ... hexagonal
Energy of formation ... -0.44 eV/atom

a b c (Å): 9.077 9.077 3.780
angles (deg): 90.00 90.00 120.00
Element x y z (fractional)
Ba1 0.333 0.667 0.000
Ba2 0.667 0.333 0.000
Pr1 0.000 0.000 0.000
Hg1 0.000 0.328 0.500
Hg2 0.000 0.672 0.500
Hg3 0.328 0.000 0.500
Hg4 0.328 0.328 0.500
Hg5 0.672 0.000 0.500
Hg6 0.672 0.672 0.500

=====

Record 4
A relaxed structure of Nd2Dy6YEr, computed with PBE.

## Properties
Total magnetization ... 0.00 Bohr magnetons per cell
Crystal system ... monoclinic
Energy of formation ... 0.11 eV/atom

a b c (Å): 8.801 8.801 9.677
angles (deg): 94.41 94.41 118.38
Element x y z (fractional)
Nd1 0.194 0.301 0.042
Nd2 0.301 0.194 0.542
Nd3 0.699 0.806 0.458
Nd4 0.806 0.699 0.958
Dy1 0.021 0.575 0.188
Dy2 0.127 0.746 0.557
Dy3 0.254 0.873 0.943
Dy4 0.291 0.501 0.381
Dy5 0.425 0.979 0.312
Dy6 0.499 0.709 0.119
Dy7 0.501 0.291 0.881
Dy8 0.575 0.021 0.688
Dy9 0.709 0.499 0.619
Dy10 0.746 0.127 0.057
Dy11 0.873 0.254 0.443
Dy12 0.979 0.425 0.812
Y1 0.018 0.982 0.250
Y2 0.982 0.018 0.750
Er1 0.408 0.592 0.750
Er2 0.592 0.408 0.250

=====

Record 5
A relaxed structure of Tb7Tl3Cd, computed with PBE.

## Properties
Total magnetization ... 0.00 Bohr magnetons per cell
Crystal system ... monoclinic
Energy of formation ... -0.08 eV/atom

a b c (Å): 8.093 8.093 5.829
angles (deg): 110.69 110.69 91.15
Element x y z (fractional)
Tb1 0.000 0.000 0.000
Tb2 0.099 0.548 0.322
Tb3 0.316 0.316 0.818
Tb4 0.452 0.901 0.678
Tb5 0.548 0.099 0.322
Tb6 0.684 0.684 0.182
Tb7 0.901 0.452 0.678
Tl1 0.269 0.731 0.000
Tl2 0.500 0.500 0.500
Tl3 0.731 0.269 0.000
Cd1 0.000 0.000 0.500

=====

Record 6
A relaxed structure of BaRe2Mo, computed with PBE.

## Properties
Total magnetization ... 0.00 Bohr magnetons per cell
Crystal system ... orthorhombic
Energy of formation ... 1.22 eV/atom

a b c (Å): 5.943 5.943 5.943
angles (deg): 150.50 124.91 63.73
Element x y z (fractional)
Ba1 0.000 0.000 0.000
Re1 0.506 0.506 0.000
Re2 0.707 0.207 0.500
Mo1 0.295 0.795 0.500

=====

Record 7
A relaxed structure of Ac6AgIr2Br3, computed with PBE.

## Properties
Total magnetization ... 0.00 Bohr magnetons per cell
Crystal system ... monoclinic
Uncorrected energy ... -5.242 eV/atom

a b c (Å): 7.714 7.714 8.656
angles (deg): 98.49 98.49 120.03
Element x y z (fractional)
Ac1 0.079 0.434 0.802
Ac2 0.209 0.209 0.198
Ac3 0.434 0.079 0.802
Ac4 0.566 0.921 0.198
Ac5 0.791 0.791 0.802
Ac6 0.921 0.566 0.198
Ag1 0.500 0.500 0.000
Ir1 0.167 0.833 0.000
Ir2 0.833 0.167 0.000
Br1 0.000 0.000 0.500
Br2 0.331 0.669 0.500
Br3 0.669 0.331 0.500

=====

Record 8
A relaxed structure of Cs3MnCu2Br8, computed with PBE.

## Properties
Total magnetization ... 3.99 Bohr magnetons per cell
Crystal system ... trigonal
Uncorrected energy ... -3.433 eV/atom

a b c (Å): 7.607 7.607 10.009
angles (deg): 90.00 90.00 120.00
Element x y z (fractional)
Cs1 0.000 0.000 0.000
Cs2 0.333 0.667 0.651
Cs3 0.667 0.333 0.349
Mn1 0.000 0.000 0.500
Cu1 0.333 0.667 0.237
Cu2 0.667 0.333 0.763
Br1 0.161 0.322 0.341
Br2 0.161 0.839 0.341
Br3 0.322 0.161 0.659
Br4 0.333 0.667 0.005
Br5 0.667 0.333 0.995
Br6 0.678 0.839 0.341
Br7 0.839 0.161 0.659
Br8 0.839 0.678 0.659

=====

Record 9
A relaxed structure of MgCu6O12, computed with PBE.

## Properties
Total magnetization ... 9.79 Bohr magnetons per cell
Crystal system ... cubic
Uncorrected energy ... -4.475 eV/atom

a b c (Å): 6.562 6.562 6.562
angles (deg): 109.47 109.47 109.47
Element x y z (fractional)
Mg1 0.000 0.000 0.000
Cu1 0.162 0.662 0.500
Cu2 0.338 0.500 0.838
Cu3 0.500 0.162 0.662
Cu4 0.500 0.838 0.338
Cu5 0.662 0.500 0.162
Cu6 0.838 0.338 0.500
O1 0.151 0.337 0.488
O2 0.151 0.663 0.814
O3 0.186 0.849 0.337
O4 0.337 0.186 0.849
O5 0.337 0.488 0.151
O6 0.488 0.151 0.337
O7 0.512 0.849 0.663
O8 0.663 0.512 0.849
O9 0.663 0.814 0.151
O10 0.814 0.151 0.663
O11 0.849 0.337 0.186
O12 0.849 0.663 0.512

=====

Record 10
A relaxed structure of MnNi2Ru, computed with PBE.

## Properties
Total magnetization ... 3.28 Bohr magnetons per cell
Crystal system ... monoclinic
Energy of formation ... 0.08 eV/atom

a b c (Å): 4.464 4.464 4.419
angles (deg): 100.19 100.19 34.28
Element x y z (fractional)
Mn1 0.000 0.000 0.000
Ni1 0.249 0.249 0.750
Ni2 0.751 0.751 0.250
Ru1 0.500 0.500 0.500

=====

Record 11
A relaxed structure of GaTeI2N, computed with PBE.

## Properties
Total magnetization ... 0.00 Bohr magnetons per cell
Crystal system ... tetragonal
Uncorrected energy ... -2.788 eV/atom

a b c (Å): 5.115 5.115 4.881
angles (deg): 90.00 90.00 90.00
Element x y z (fractional)
Ga1 0.000 0.000 0.000
Te1 0.500 0.500 0.000
I1 0.000 0.500 0.500
I2 0.500 0.000 0.500
N1 0.500 0.500 0.500

=====

Record 12
A relaxed structure of Ac2Ce3Te8, computed with PBE.

## Properties
Total magnetization ... 2.01 Bohr magnetons per cell
Crystal system ... orthorhombic
Uncorrected energy ... -5.273 eV/atom

a b c (Å): 9.642 9.642 5.481
angles (deg): 90.00 90.00 110.52
Element x y z (fractional)
Ac1 0.236 0.764 0.000
Ac2 0.764 0.236 0.000
Ce1 0.231 0.231 0.500
Ce2 0.500 0.500 0.000
Ce3 0.769 0.769 0.500
Te1 0.122 0.878 0.500
Te2 0.144 0.382 0.000
Te3 0.382 0.144 0.000
Te4 0.387 0.613 0.500
Te5 0.613 0.387 0.500
Te6 0.618 0.856 0.000
Te7 0.856 0.618 0.000
Te8 0.878 0.122 0.500

=====

Record 13
A relaxed structure of Y2Pb2O7, computed with PBE.

## Properties
Total magnetization ... 0.00 Bohr magnetons per cell
Crystal system ... cubic
Uncorrected energy ... -7.097 eV/atom

a b c (Å): 7.627 7.627 7.627
angles (deg): 60.00 60.00 60.00
Element x y z (fractional)
Y1 0.000 0.000 0.000
Y2 0.000 0.000 0.500
Y3 0.000 0.500 0.000
Y4 0.500 0.000 0.000
Pb1 0.000 0.500 0.500
Pb2 0.500 0.000 0.500
Pb3 0.500 0.500 0.000
Pb4 0.500 0.500 0.500
O1 0.125 0.125 0.125
O2 0.151 0.151 0.599
O3 0.151 0.599 0.151
O4 0.151 0.599 0.599
O5 0.401 0.401 0.849
O6 0.401 0.849 0.401
O7 0.401 0.849 0.849
O8 0.599 0.151 0.151
O9 0.599 0.151 0.599
O10 0.599 0.599 0.151
O11 0.849 0.401 0.401
O12 0.849 0.401 0.849
O13 0.849 0.849 0.401
O14 0.875 0.875 0.875

=====

Record 14
A relaxed structure of Rb3TcAs, computed with PBE.

## Properties
Total magnetization ... 5.00 Bohr magnetons per cell
Crystal system ... cubic
Energy of formation ... 1.25 eV/atom

a b c (Å): 6.425 6.425 6.425
angles (deg): 90.00 90.00 90.00
Element x y z (fractional)
Rb1 0.000 0.000 0.500
Rb2 0.000 0.500 0.000
Rb3 0.500 0.000 0.000
Tc1 0.000 0.000 0.000
As1 0.500 0.500 0.500

=====

Record 15
A relaxed structure of CoSbBr, computed with PBE.

## Properties
Total magnetization ... 1.22 Bohr magnetons per cell
Crystal system ... tetragonal
Uncorrected energy ... -4.055 eV/atom

a b c (Å): 7.126 7.126 7.126
angles (deg): 154.20 154.20 36.81
Element x y z (fractional)
Co1 0.000 0.000 0.000
Sb1 0.382 0.382 0.000
Br1 0.618 0.618 0.000

=====

Record 16
A relaxed structure of CuReTe2I, computed with PBE.

## Properties
Total magnetization ... 4.15 Bohr magnetons per cell
Crystal system ... tetragonal
Uncorrected energy ... -3.489 eV/atom

a b c (Å): 5.229 5.229 5.105
angles (deg): 90.00 90.00 90.00
Element x y z (fractional)
Cu1 0.000 0.000 0.000
Re1 0.500 0.500 0.500
Te1 0.000 0.500 0.000
Te2 0.500 0.000 0.000
I1 0.000 0.000 0.500

=====

Record 17
A relaxed structure of Na2PmHoS4, computed with PBE.

## Properties
Total magnetization ... 0.00 Bohr magnetons per cell
Crystal system ... monoclinic
Uncorrected energy ... -5.386 eV/atom

a b c (Å): 6.987 4.033 7.084
angles (deg): 90.00 109.19 90.00
Element x y z (fractional)
Na1 0.000 0.000 0.000
Na2 0.500 0.500 0.000
Pm1 0.000 0.500 0.500
Ho1 0.500 0.000 0.500
S1 0.251 0.000 0.730
S2 0.264 0.500 0.273
S3 0.736 0.500 0.727
S4 0.749 0.000 0.270

=====

Record 18
A relaxed structure of Pm5Si, computed with PBE.

## Properties
Total magnetization ... 0.00 Bohr magnetons per cell
Crystal system ... orthorhombic
Uncorrected energy ... -4.980 eV/atom

a b c (Å): 8.009 8.009 4.844
angles (deg): 90.00 90.00 145.43
Element x y z (fractional)
Pm1 0.000 0.000 0.000
Pm2 0.154 0.846 0.500
Pm3 0.342 0.658 0.000
Pm4 0.658 0.342 0.000
Pm5 0.846 0.154 0.500
Si1 0.500 0.500 0.500

=====

Record 19
A relaxed structure of TaNb6Tc2, computed with PBE.

## Properties
Total magnetization ... 0.00 Bohr magnetons per cell
Crystal system ... orthorhombic
Energy of formation ... 0.14 eV/atom

a b c (Å): 7.532 7.532 7.532
angles (deg): 111.09 109.54 107.80
Element x y z (fractional)
Ta1 0.000 0.000 0.000
Ta2 0.500 0.500 0.000
Nb1 0.075 0.813 0.262
Nb2 0.211 0.304 0.515
Nb3 0.211 0.696 0.907
Nb4 0.257 0.058 0.800
Nb5 0.257 0.457 0.200
Nb6 0.449 0.187 0.262
Nb7 0.551 0.813 0.738
Nb8 0.743 0.543 0.800
Nb9 0.743 0.942 0.200
Nb10 0.789 0.304 0.093
Nb11 0.789 0.696 0.485
Nb12 0.925 0.187 0.738
Tc1 0.151 0.651 0.500
Tc2 0.500 0.146 0.646
Tc3 0.500 0.854 0.354
Tc4 0.849 0.349 0.500

=====

Record 20
A relaxed structure of Ac2Cd2SnPd5, computed with PBE.

## Properties
Total magnetization ... 0.00 Bohr magnetons per cell
Crystal system ... tetragonal
Energy of formation ... -0.52 eV/atom

a b c (Å): 10.773 10.773 3.789
angles (deg): 90.00 90.00 90.00
Element x y z (fractional)
Ac1 0.174 0.326 0.000
Ac2 0.326 0.826 0.000
Ac3 0.674 0.174 0.000
Ac4 0.826 0.674 0.000
Cd1 0.126 0.626 0.000
Cd2 0.374 0.126 0.000
Cd3 0.626 0.874 0.000
Cd4 0.874 0.374 0.000
Sn1 0.000 0.000 0.000
Sn2 0.500 0.500 0.000
Pd1 0.000 0.500 0.500
Pd2 0.047 0.805 0.500
Pd3 0.195 0.047 0.500
Pd4 0.305 0.547 0.500
Pd5 0.453 0.305 0.500
Pd6 0.500 0.000 0.500
Pd7 0.547 0.695 0.500
Pd8 0.695 0.453 0.500
Pd9 0.805 0.953 0.500
Pd10 0.953 0.195 0.500

=====

Record 21
A relaxed structure of YBePt3, computed with PBE.

## Properties
Total magnetization ... 0.00 Bohr magnetons per cell
Crystal system ... orthorhombic
Energy of formation ... -0.30 eV/atom

a b c (Å): 6.543 6.543 5.254
angles (deg): 90.00 90.00 117.71
Element x y z (fractional)
Y1 0.096 0.904 0.750
Y2 0.904 0.096 0.250
Be1 0.339 0.661 0.750
Be2 0.661 0.339 0.250
Pt1 0.048 0.334 0.750
Pt2 0.334 0.048 0.250
Pt3 0.500 0.500 0.000
Pt4 0.500 0.500 0.500
Pt5 0.666 0.952 0.750
Pt6 0.952 0.666 0.250

=====

Record 22
A relaxed structure of HoPu2Zr, computed with PBE.

## Properties
Total magnetization ... 11.31 Bohr magnetons per cell
Crystal system ... tetragonal
Energy of formation ... 0.19 eV/atom

a b c (Å): 4.650 4.650 4.802
angles (deg): 90.00 90.00 90.00
Element x y z (fractional)
Ho1 0.000 0.000 0.000
Pu1 0.000 0.500 0.500
Pu2 0.500 0.000 0.500
Zr1 0.500 0.500 0.000

=====

| no. | calculated volume (Å³ per cell) | ρ (g cm⁻³) |
| --- | --- | --- |
| 1 | 105 | 10.226 |
| 2 | 75 | 8.121 |
| 3 | 270 | 9.969 |
| 4 | 652 | 7.741 |
| 5 | 329 | 9.263 |
| 6 | 84 | 11.982 |
| 7 | 426 | 8.162 |
| 8 | 502 | 4.039 |
| 9 | 217 | 4.563 |
| 10 | 49 | 9.315 |
| 11 | 128 | 6.049 |
| 12 | 477 | 6.595 |
| 13 | 314 | 7.454 |
| 14 | 265 | 2.688 |
| 15 | 68 | 6.322 |
| 16 | 140 | 7.516 |
| 17 | 189 | 4.265 |
| 18 | 176 | 7.093 |
| 19 | 329 | 9.444 |
| 20 | 440 | 10.040 |
| 21 | 199 | 11.392 |
| 22 | 104 | 11.901 |